# 1
An optimized crystal structure of AsPAu. Source: the Alexandria database, functional PBEsol.

Spin magnetization ... 0.00 μB/f.u.
Calculated total energy ... -4.501 eV/atom
Formation energy from the elements ... 440 meV/atom
V ... 219.0 Å³ per cell

```
data_AsPAu
_chemical_formula_sum 'As4 P4 Au4'
_symmetry_space_group_name_H-M 'C m c m'
_symmetry_Int_Tables_number 63
_symmetry_space_group_name_Hall '-C 2c 2'
_cell_length_a 5.494
_cell_length_b 8.298
_cell_length_c 4.803
_cell_angle_alpha 90.00
_cell_angle_beta 90.00
_cell_angle_gamma 90.00
loop_
_atom_site_label
_atom_site_type_symbol
_atom_site_fract_x
_atom_site_fract_y
_atom_site_fract_z
As1 As 0.000 0.093 0.250
P1 P 0.000 0.500 0.000
Au1 Au 0.000 0.222 0.750
```

# 2
An optimized crystal structure of MgAsOs2. Source: the Alexandria database, functional PBEsol.

Spin magnetization ... 0.00 μB/f.u.
Calculated total energy ... -7.507 eV/atom
Formation energy from the elements ... 307 meV/atom
V ... 118.1 Å³ per cell

```
data_MgAsOs2
_chemical_formula_sum 'Mg2 As2 Os4'
_symmetry_space_group_name_H-M 'C 1 2/m 1'
_symmetry_Int_Tables_number 12
_cell_length_a 8.724
_cell_length_b 2.843
_cell_length_c 4.819
_cell_angle_alpha 90.00
_cell_angle_beta 98.86
_cell_angle_gamma 90.00
loop_
_symmetry_equiv_pos_as_xyz
'x,y,z'
'-x,-y,-z'
'-x,y,-z'
'x,-y,z'
'x+1/2,y+1/2,z'
'-x+1/2,-y+1/2,-z'
'-x+1/2,y+1/2,-z'
'x+1/2,-y+1/2,z'
loop_
_atom_site_label
_atom_site_type_symbol
_atom_site_fract_x
_atom_site_fract_y
_atom_site_fract_z
Mg1 Mg 0.000 0.000 0.000
As1 As 0.000 0.500 0.500
Os1 Os 0.247 0.000 0.736
```

# 3
An optimized crystal structure of Na3MnO3. Source: the Alexandria database, functional PBEsol.

Formation energy (no corrections) ... -1.4674 eV/atom
Spin magnetization ... 3.65 μB/f.u.
Calculated total energy ... -5.711 eV/atom
V ... 379.9 Å³ per cell

```
data_Na3MnO3
_chemical_formula_sum 'Na12 Mn4 O12'
_symmetry_space_group_name_H-M 'P 42/m n m'
_symmetry_Int_Tables_number 136
_symmetry_space_group_name_Hall '-P 4n 2n'
_cell_length_a 9.261
_cell_length_b 9.261
_cell_length_c 4.430
_cell_angle_alpha 90.00
_cell_angle_beta 90.00
_cell_angle_gamma 90.00
loop_
_atom_site_label
_atom_site_type_symbol
_atom_site_fract_x
_atom_site_fract_y
_atom_site_fract_z
Na1 Na 0.126 0.372 0.000
Na2 Na 0.150 0.150 0.500
Mn1 Mn 0.113 0.887 0.000
O1 O 0.095 0.095 0.000
O2 O 0.105 0.691 0.000
```

# 4
An optimized crystal structure of Na8Zr6BBr20. Source: the Alexandria database, functional PBEsol.

Formation energy (no corrections) ... -1.4430 eV/atom
Spin magnetization ... 0.00 μB/f.u.
Calculated total energy ... -4.590 eV/atom
V ... 3758.1 Å³ per cell

```
data_Na8Zr6BBr20
_chemical_formula_sum 'Na32 Zr24 B4 Br80'
_symmetry_space_group_name_H-M 'F m -3 m'
_symmetry_Int_Tables_number 225
_symmetry_space_group_name_Hall '-F 4 2 3'
_cell_length_a 15.547
_cell_length_b 15.547
_cell_length_c 15.547
_cell_angle_alpha 90.00
_cell_angle_beta 90.00
_cell_angle_gamma 90.00
loop_
_atom_site_label
_atom_site_type_symbol
_atom_site_fract_x
_atom_site_fract_y
_atom_site_fract_z
Na1 Na 0.140 0.140 0.140
Zr1 Zr 0.000 0.000 0.353
B1 B 0.000 0.000 0.500
Br1 Br 0.000 0.000 0.171
Br2 Br 0.000 0.171 0.329
Br3 Br 0.250 0.250 0.250
```